## AlTlPbO4 (GGA-PBE)

Data for a relaxed AlTlPbO4 crystal.

Computed properties:
Volume   234 Å³/cell
Calculated total energy   -5.727 eV per atom
Formation energy (no corrections)   -1.4913 eV/atom
Size of the total moment   0.00 μB/cell

Cell lengths 5.919, 5.759, 7.008 Å; angles 90.00, 101.95, 90.00 degrees
Sites, in units of the cell vectors:
O 0.530 0.250 0.403
O 0.904 0.012 0.677
O 0.511 0.250 0.807
O 0.489 0.750 0.193
Pb 0.289 0.250 0.122
O 0.904 0.488 0.677
Al 0.300 0.750 0.362
Tl 0.809 0.750 0.419
O 0.096 0.512 0.323
O 0.096 0.988 0.323
Pb 0.711 0.750 0.878
Tl 0.191 0.250 0.581
O 0.470 0.750 0.597
Al 0.700 0.250 0.638

***

## SrAsCl2 (GGA-PBE)

Data for a relaxed SrAsCl2 crystal.

Computed properties:
Volume   101 Å³/cell
Calculated total energy   -3.499 eV per atom
Formation energy (no corrections)   -0.9928 eV/atom
Size of the total moment   0.00 μB/cell

Cell lengths 5.848, 5.848, 5.848 Å; angles 144.38, 117.87, 73.72 degrees
Sites, in units of the cell vectors:
Cl 0.500 0.500 0.000
Cl 0.000 0.000 0.000
As 0.750 0.250 0.500
Sr 0.250 0.750 0.500

***

## TeRuPt2F (GGA-PBE)

Data for a relaxed TeRuPt2F crystal.

Computed properties:
Volume   95 Å³/cell
Calculated total energy   -5.022 eV per atom
Formation energy (no corrections)   0.2520 eV/atom
Size of the total moment   1.03 μB/cell

Cell lengths 4.946, 3.902, 4.946 Å; angles 90.00, 90.00, 90.00 degrees
Site moments in Bohr magnetons follow the coordinates.
Sites, in units of the cell vectors:
Ru 0.000 0.000 0.000  0.70
Te 0.500 0.500 0.500  0.00
Pt 0.500 0.000 0.000  0.06
Pt 0.000 0.000 0.500  0.21
F 0.000 0.500 0.000  0.03

***

## Tb5Y4Ho2 (GGA-PBE)

Data for a relaxed Tb5Y4Ho2 crystal.

Computed properties:
Volume   369 Å³/cell
Calculated total energy   -5.041 eV per atom
Energy of formation from the pure elements   246.9 meV/atom
Size of the total moment   0.00 μB/cell

Cell lengths 3.508, 9.039, 12.598 Å; angles 111.02, 98.00, 90.00 degrees
Sites, in units of the cell vectors:
Tb 0.146 0.947 0.292
Y 0.598 0.598 0.196
Ho 0.269 0.269 0.537
Ho 0.731 0.731 0.463
Tb 0.500 0.000 0.000
Y 0.000 0.691 0.000
Tb 0.146 0.345 0.292
Tb 0.854 0.655 0.708
Y 0.000 0.309 0.000
Y 0.402 0.402 0.804
Tb 0.854 0.053 0.708

***

## Rb2NaGeBr5 (GGA-PBE)

Data for a relaxed Rb2NaGeBr5 crystal.

Computed properties:
Volume   656 Å³/cell
Calculated total energy   -3.098 eV per atom
Formation energy (no corrections)   -1.2945 eV/atom
Size of the total moment   0.00 μB/cell

Cell lengths 4.788, 9.828, 14.379 Å; angles 90.00, 90.00, 104.10 degrees
Sites, in units of the cell vectors:
Br 0.508 0.015 0.272
Ge 0.537 0.074 0.946
Rb 0.853 0.707 0.813
Br 0.632 0.265 0.495
Br 0.667 0.334 0.888
Br 0.715 0.430 0.161
Rb 0.891 0.782 0.173
Br 0.333 0.666 0.388
Br 0.368 0.735 0.995
Br 0.285 0.570 0.661
Rb 0.109 0.218 0.673
Br 0.054 0.109 0.043
Ge 0.463 0.926 0.446
Br 0.492 0.985 0.772
Na 0.214 0.429 0.035
Na 0.786 0.571 0.535
Br 0.946 0.891 0.543
Rb 0.147 0.293 0.313

***

## PrYPt10 (GGA-PBE)

Data for a relaxed PrYPt10 crystal.

Computed properties:
Volume   224 Å³/cell
Calculated total energy   -6.673 eV per atom
Energy of formation from the pure elements   -702.0 meV/atom
Size of the total moment   0.00 μB/cell

Cell lengths 4.450, 5.410, 9.324 Å; angles 90.00, 90.00, 90.00 degrees
Sites, in units of the cell vectors:
Pt 0.000 0.500 0.171
Pt 0.500 0.749 0.748
Y 0.000 0.500 0.500
Pt 0.000 0.500 0.829
Pt 0.500 0.251 0.252
Pt 0.500 0.500 0.000
Pt 0.500 0.251 0.748
Pt 0.500 0.000 0.500
Pt 0.000 0.000 0.664
Pt 0.000 0.000 0.336
Pr 0.000 0.000 0.000
Pt 0.500 0.749 0.252